Record 1
This record from Alexandria via LeMat-Bulk describes a geometry-optimized CsZnGePO structure. The functional is GGA-PBE.

Cell and atoms, written as CIF:
```
data_CsZnGePO
_symmetry_space_group_name_H-M 'C 1 m 1'
_symmetry_Int_Tables_number 8
_symmetry_space_group_name_Hall 'C -2y'
_cell_length_a 10.327
_cell_length_b 3.871
_cell_length_c 7.046
_cell_angle_alpha 90.00
_cell_angle_beta 96.32
_cell_angle_gamma 90.00
loop_
_atom_site_label
_atom_site_type_symbol
_atom_site_fract_x
_atom_site_fract_y
_atom_site_fract_z
_atom_site_occupancy
Cs1 Cs 0.000 0.000 0.000 1
Zn1 Zn 0.428 0.000 0.475 1
Ge1 Ge 0.234 0.500 0.418 1
P1 P 0.259 0.000 0.654 1
O1 O 0.060 0.500 0.318 1
```

calculated total energy = -40.421 eV per cell
ΔE_f (raw) = -0.62 eV per atom
V = 280 Å³ per cell

***

Record 2
This record from Alexandria via LeMat-Bulk describes a geometry-optimized CsZnGePO structure. The functional is GGA-PBE.

Cell and atoms, written as CIF:
```
data_CsZnGePO
_symmetry_space_group_name_H-M 'C 1 m 1'
_symmetry_Int_Tables_number 8
_symmetry_space_group_name_Hall 'C -2y'
_cell_length_a 6.723
_cell_length_b 3.515
_cell_length_c 9.796
_cell_angle_alpha 90.00
_cell_angle_beta 101.04
_cell_angle_gamma 90.00
loop_
_atom_site_label
_atom_site_type_symbol
_atom_site_fract_x
_atom_site_fract_y
_atom_site_fract_z
_atom_site_occupancy
Cs1 Cs 0.000 0.000 0.000 1
Zn1 Zn 0.151 0.000 0.695 1
Ge1 Ge 0.415 0.000 0.334 1
P1 P 0.120 0.000 0.452 1
O1 O 0.135 0.500 0.791 1
```

calculated total energy = -40.208 eV per cell
ΔE_f (raw) = -0.60 eV per atom
V = 227 Å³ per cell

***

Record 3
This record from Alexandria via LeMat-Bulk describes a geometry-optimized CsZnGePO structure. The functional is GGA-PBE.

Cell and atoms, written as CIF:
```
data_CsZnGePO
_symmetry_space_group_name_H-M 'C 1 m 1'
_symmetry_Int_Tables_number 8
_symmetry_space_group_name_Hall 'C -2y'
_cell_length_a 12.199
_cell_length_b 4.879
_cell_length_c 4.236
_cell_angle_alpha 90.00
_cell_angle_beta 108.18
_cell_angle_gamma 90.00
loop_
_atom_site_label
_atom_site_type_symbol
_atom_site_fract_x
_atom_site_fract_y
_atom_site_fract_z
_atom_site_occupancy
Cs1 Cs 0.000 0.000 0.000 1
Zn1 Zn 0.156 0.500 0.620 1
Ge1 Ge 0.335 0.000 0.442 1
P1 P 0.249 0.500 0.199 1
O1 O 0.484 0.000 0.446 1
```

calculated total energy = -40.465 eV per cell
ΔE_f (raw) = -0.62 eV per atom
V = 240 Å³ per cell

***

Record 4
This record from Alexandria via LeMat-Bulk describes a geometry-optimized CsZnGePO structure. The functional is GGA-PBE.

Cell and atoms, written as CIF:
```
data_CsZnGePO
_symmetry_space_group_name_H-M 'C 1 m 1'
_symmetry_Int_Tables_number 8
_symmetry_space_group_name_Hall 'C -2y'
_cell_length_a 15.348
_cell_length_b 3.712
_cell_length_c 4.754
_cell_angle_alpha 90.00
_cell_angle_beta 103.62
_cell_angle_gamma 90.00
loop_
_atom_site_label
_atom_site_type_symbol
_atom_site_fract_x
_atom_site_fract_y
_atom_site_fract_z
_atom_site_occupancy
Cs1 Cs 0.000 0.000 0.000 1
Zn1 Zn 0.249 0.500 0.674 1
Ge1 Ge 0.320 0.000 0.393 1
P1 P 0.229 0.500 0.137 1
O1 O 0.434 0.000 0.401 1
```

calculated total energy = -40.057 eV per cell
ΔE_f (raw) = -0.58 eV per atom
DOS at the Fermi energy = 2.143 states/eV/cell
V = 263 Å³ per cell

***

Record 5
This record from Alexandria via LeMat-Bulk describes a geometry-optimized CsZnGePO structure. The functional is GGA-PBE.

Cell and atoms, written as CIF:
```
data_CsZnGePO
_symmetry_space_group_name_H-M 'C 1 m 1'
_symmetry_Int_Tables_number 8
_symmetry_space_group_name_Hall 'C -2y'
_cell_length_a 13.640
_cell_length_b 3.752
_cell_length_c 5.714
_cell_angle_alpha 90.00
_cell_angle_beta 110.53
_cell_angle_gamma 90.00
loop_
_atom_site_label
_atom_site_type_symbol
_atom_site_fract_x
_atom_site_fract_y
_atom_site_fract_z
_atom_site_occupancy
Cs1 Cs 0.000 0.000 0.000 1
Zn1 Zn 0.259 0.500 0.291 1
Ge1 Ge 0.153 0.500 0.620 1
P1 P 0.283 0.000 0.566 1
O1 O 0.173 0.500 0.947 1
```

calculated total energy = -40.182 eV per cell
ΔE_f (raw) = -0.60 eV per atom
V = 274 Å³ per cell

***

Record 6
This record from Alexandria via LeMat-Bulk describes a geometry-optimized CsZnGePO structure. The functional is GGA-PBE.

Cell and atoms, written as CIF:
```
data_CsZnGePO
_symmetry_space_group_name_H-M 'C 1 m 1'
_symmetry_Int_Tables_number 8
_symmetry_space_group_name_Hall 'C -2y'
_cell_length_a 9.407
_cell_length_b 3.654
_cell_length_c 8.017
_cell_angle_alpha 90.00
_cell_angle_beta 117.35
_cell_angle_gamma 90.00
loop_
_atom_site_label
_atom_site_type_symbol
_atom_site_fract_x
_atom_site_fract_y
_atom_site_fract_z
_atom_site_occupancy
Cs1 Cs 0.000 0.000 0.000 1
Zn1 Zn 0.120 0.000 0.607 1
Ge1 Ge 0.348 0.000 0.535 1
P1 P 0.348 0.500 0.348 1
O1 O 0.069 0.500 0.718 1
```

calculated total energy = -41.420 eV per cell
ΔE_f (raw) = -0.72 eV per atom
V = 245 Å³ per cell

***

Record 7
This record from Alexandria via LeMat-Bulk describes a geometry-optimized CsZnGePO structure. The functional is GGA-PBE.

Cell and atoms, written as CIF:
```
data_CsZnGePO
_symmetry_space_group_name_H-M 'P 1'
_symmetry_Int_Tables_number 1
_symmetry_space_group_name_Hall 'P 1'
_cell_length_a 4.525
_cell_length_b 4.978
_cell_length_c 6.689
_cell_angle_alpha 97.40
_cell_angle_beta 98.14
_cell_angle_gamma 110.57
loop_
_atom_site_label
_atom_site_type_symbol
_atom_site_fract_x
_atom_site_fract_y
_atom_site_fract_z
_atom_site_occupancy
Cs1 Cs 0.000 0.000 0.000 1
Zn1 Zn 0.552 0.748 0.448 1
Ge1 Ge 0.714 0.293 0.484 1
P1 P 0.248 0.509 0.679 1
O1 O 0.458 0.294 0.707 1
```

calculated total energy = -19.815 eV per cell
ΔE_f (raw) = -0.54 eV per atom
V = 137 Å³ per cell

***

Record 8
This record from Alexandria via LeMat-Bulk describes a geometry-optimized CsZnGePO structure. The functional is GGA-PBE.

Cell and atoms, written as CIF:
```
data_CsZnGePO
_symmetry_space_group_name_H-M 'P 1'
_symmetry_Int_Tables_number 1
_symmetry_space_group_name_Hall 'P 1'
_cell_length_a 4.169
_cell_length_b 4.983
_cell_length_c 7.060
_cell_angle_alpha 102.04
_cell_angle_beta 91.41
_cell_angle_gamma 113.23
loop_
_atom_site_label
_atom_site_type_symbol
_atom_site_fract_x
_atom_site_fract_y
_atom_site_fract_z
_atom_site_occupancy
Cs1 Cs 0.000 0.000 0.000 1
Zn1 Zn 0.340 0.696 0.521 1
Ge1 Ge 0.706 0.256 0.595 1
P1 P 0.754 0.528 0.361 1
O1 O 0.132 0.466 0.739 1
```

calculated total energy = -20.485 eV per cell
ΔE_f (raw) = -0.67 eV per atom
V = 131 Å³ per cell

***

Record 9
This record from Alexandria via LeMat-Bulk describes a geometry-optimized CsZnGePO structure. The functional is GGA-PBE.

Cell and atoms, written as CIF:
```
data_CsZnGePO
_symmetry_space_group_name_H-M 'P 1'
_symmetry_Int_Tables_number 1
_symmetry_space_group_name_Hall 'P 1'
_cell_length_a 3.647
_cell_length_b 4.789
_cell_length_c 7.642
_cell_angle_alpha 100.46
_cell_angle_beta 103.73
_cell_angle_gamma 90.02
loop_
_atom_site_label
_atom_site_type_symbol
_atom_site_fract_x
_atom_site_fract_y
_atom_site_fract_z
_atom_site_occupancy
Cs1 Cs 0.000 0.000 0.000 1
Zn1 Zn 0.237 0.992 0.479 1
Ge1 Ge 0.277 0.504 0.561 1
P1 P 0.679 0.633 0.362 1
O1 O 0.574 0.505 0.150 1
```

calculated total energy = -20.343 eV per cell
ΔE_f (raw) = -0.65 eV per atom
V = 127 Å³ per cell

***

Record 10
This record from Alexandria via LeMat-Bulk describes a geometry-optimized CsZnGePO structure. The functional is GGA-PBE.

Cell and atoms, written as CIF:
```
data_CsZnGePO
_symmetry_space_group_name_H-M 'C 1 m 1'
_symmetry_Int_Tables_number 8
_symmetry_space_group_name_Hall 'C -2y'
_cell_length_a 11.449
_cell_length_b 3.932
_cell_length_c 5.605
_cell_angle_alpha 90.00
_cell_angle_beta 110.78
_cell_angle_gamma 90.00
loop_
_atom_site_label
_atom_site_type_symbol
_atom_site_fract_x
_atom_site_fract_y
_atom_site_fract_z
_atom_site_occupancy
Cs1 Cs 0.000 0.000 0.000 1
Zn1 Zn 0.351 0.000 0.387 1
Ge1 Ge 0.214 0.000 0.672 1
P1 P 0.081 0.500 0.549 1
O1 O 0.293 0.000 0.017 1
```

calculated total energy = -40.279 eV per cell
ΔE_f (raw) = -0.61 eV per atom
DOS at the Fermi energy = 0.197 states/eV/cell
V = 236 Å³ per cell

***

Record 11
This record from Alexandria via LeMat-Bulk describes a geometry-optimized CsZnGePO structure. The functional is GGA-PBE.

Cell and atoms, written as CIF:
```
data_CsZnGePO
_symmetry_space_group_name_H-M 'P 1'
_symmetry_Int_Tables_number 1
_symmetry_space_group_name_Hall 'P 1'
_cell_length_a 4.128
_cell_length_b 5.842
_cell_length_c 6.555
_cell_angle_alpha 109.73
_cell_angle_beta 91.96
_cell_angle_gamma 95.59
loop_
_atom_site_label
_atom_site_type_symbol
_atom_site_fract_x
_atom_site_fract_y
_atom_site_fract_z
_atom_site_occupancy
Cs1 Cs 0.000 0.000 0.000 1
Zn1 Zn 0.886 0.335 0.577 1
Ge1 Ge 0.464 0.793 0.420 1
P1 P 0.413 0.527 0.623 1
O1 O 0.833 0.992 0.555 1
```

calculated total energy = -20.273 eV per cell
ΔE_f (raw) = -0.63 eV per atom
V = 148 Å³ per cell

***

Record 12
This record from Alexandria via LeMat-Bulk describes a geometry-optimized CsZnGePO structure. The functional is GGA-PBE.

Cell and atoms, written as CIF:
```
data_CsZnGePO
_symmetry_space_group_name_H-M 'C 1 m 1'
_symmetry_Int_Tables_number 8
_symmetry_space_group_name_Hall 'C -2y'
_cell_length_a 13.562
_cell_length_b 3.633
_cell_length_c 4.901
_cell_angle_alpha 90.00
_cell_angle_beta 94.07
_cell_angle_gamma 90.00
loop_
_atom_site_label
_atom_site_type_symbol
_atom_site_fract_x
_atom_site_fract_y
_atom_site_fract_z
_atom_site_occupancy
Cs1 Cs 0.000 0.000 0.000 1
Zn1 Zn 0.241 0.500 0.991 1
Ge1 Ge 0.310 0.000 0.487 1
P1 P 0.189 0.500 0.516 1
O1 O 0.303 0.000 0.088 1
```

calculated total energy = -40.795 eV per cell
ΔE_f (raw) = -0.66 eV per atom
DOS at the Fermi energy = 0.290 states/eV/cell
V = 241 Å³ per cell